Density functional theory data (GGA-PBE) for a geometry-optimized Ho8BiC4 structure.

Calculated values
**Density of states at the Fermi level**: 10.574 states/eV/f.u.
**Calculated formation energy**: -0.36 eV per atom
**Total DFT energy (no corrections)**: -82.0 eV for the cell shown
**E above lowest polymorph**: 0 meV per atom

abc: 3.6164 8.8831 9.1995
angles: 82.05 78.66 78.26
Closest atoms and distances in Å follow each position.
Positions (direct):
C: 0.1817 0.4991 0.1376  6 Ho 2.45-2.51
Ho: 0.8840 0.6765 0.5555  3 C 2.50-2.51
Ho: 0.8096 0.3449 0.0359  3 C 2.45-2.48
Ho: 0.1474 0.3270 0.3783  3 C 2.50-2.51
C: 0.6639 0.1651 0.5071  6 Ho 2.43-2.50
Bi: 0.5158 0.0016 0.9668  10 Ho 3.56-3.66, 2 Bi 3.62
Ho: 0.5568 0.6544 0.2320  3 C 2.46-2.49
C: 0.8498 0.5043 0.7962  6 Ho 2.45-2.51
Ho: 0.1815 0.0116 0.6254  3 C 2.43-2.46
Ho: 0.8499 0.9919 0.3083  3 C 2.43-2.46
C: 0.3675 0.8384 0.4266  6 Ho 2.43-2.50
Ho: 0.4746 0.3490 0.7018  3 C 2.46-2.49
Ho: 0.2218 0.6584 0.8979  3 C 2.45-2.48



Density functional theory data (GGA-PBE) for a geometry-optimized LaCu2Ni2Ge structure.

Calculated values
**Density of states at the Fermi level**: 5.356 states/eV/f.u.
**Calculated formation energy**: 0.00 eV per atom
**Total DFT energy (no corrections)**: -29.3 eV for the cell shown

abc: 4.3651 4.3651 5.7304
angles: 90.00 90.00 90.00
Closest atoms and distances in Å follow each position.
Positions (direct):
Ni: 0.0000 0.5000 0.0000  2 Ge 2.18
La: 0.0000 0.0000 0.5000  2 Ge 2.87
Ni: 0.5000 0.0000 0.0000  2 Ge 2.18
Ge: 0.0000 0.0000 0.0000  4 Ni 2.18
Cu: 0.5000 0.5000 0.7471  4 Ni 2.62, 2 Cu 2.83-2.90
Cu: 0.5000 0.5000 0.2529  4 Ni 2.62, 2 Cu 2.83-2.90



Density functional theory data (GGA-PBE) for a geometry-optimized Tm5Co4Cu structure.

Calculated values
**Density of states at the Fermi level**: 4.929 states/eV/f.u.
**Calculated formation energy**: -0.24 eV per atom
**Total DFT energy (no corrections)**: -57.3 eV for the cell shown

abc: 3.3035 3.3035 16.7154
angles: 90.00 90.00 90.00
Closest atoms and distances in Å follow each position.
Positions (direct):
Tm: 0.5000 0.5000 0.3047  8 Co 2.85-2.88
Tm: 0.5000 0.5000 0.8914  4 Co 2.83, 4 Cu 2.96
Co: 0.0000 0.0000 0.4019  8 Tm 2.85
Tm: 0.5000 0.5000 0.5000  8 Co 2.85
Tm: 0.5000 0.5000 0.1086  4 Co 2.83, 4 Cu 2.96
Tm: 0.5000 0.5000 0.6953  8 Co 2.85-2.88
Cu: 0.0000 0.0000 0.0000  8 Tm 2.96, 4 Cu 3.30
Co: 0.0000 0.0000 0.5981  8 Tm 2.85
Co: 0.0000 0.0000 0.2041  8 Tm 2.83-2.88
Co: 0.0000 0.0000 0.7959  8 Tm 2.83-2.88



Density functional theory data (GGA-PBE) for a geometry-optimized NiHg2Mo structure.

Calculated values
**Density of states at the Fermi level**: 2.978 states/eV/f.u.
**Calculated formation energy**: 0.48 eV per atom
**Total DFT energy (no corrections)**: -15.3 eV for the cell shown
**E above lowest polymorph**: 199 meV per atom

abc: 2.9050 2.9051 8.0325
angles: 90.00 90.00 90.00
Closest atoms and distances in Å follow each position.
Positions (direct):
Ni: 0.5000 0.5000 0.7500  8 Hg 2.76, 4 Ni 2.91
Mo: 0.5000 0.5000 0.2500  4 Mo 2.91, 8 Hg 2.99
Hg: 0.0000 0.0000 0.9791  4 Ni 2.76, 4 Hg 2.91, 4 Mo 2.99
Hg: 0.0000 0.0000 0.5209  4 Ni 2.76, 4 Hg 2.91, 4 Mo 2.99